# 1
Compound: TaGeTePt
Source: Alexandria
Functional: PBE-GGA
Structure: relaxed

Structure (extended XYZ):
```
4
Lattice="1.8119 1.0461 7.4995 -1.8119 1.0461 7.4995 0.0000 -2.0922 7.4995" Properties=species:S:1:pos:R:3 pbc="T T T"
Ta 0.0000 0.0000 0.0000
Ge 0.0000 0.0000 16.7487
Te 0.0000 0.0000 5.6584
Pt 0.0000 0.0000 2.9869
```

VASP energy = -6.612 eV per atom
raw formation energy = -0.1994 eV/atom
relative energy among the computed polymorphs = 0.035 eV per atom
symmetry = R3m
calculated volume = 21.32 Å³/atom

# 2
Compound: NiAgRh2N
Source: Alexandria
Functional: PBE-GGA
Structure: relaxed

Structure (extended XYZ):
```
5
Lattice="4.0854 0.0000 0.0000 0.0000 4.0854 0.0000 0.0000 0.0000 3.8844" Properties=species:S:1:pos:R:3 pbc="T T T"
Ni 0.0000 0.0000 0.0000
Ag 2.0427 2.0427 0.0000
Rh 0.0000 2.0427 1.9422
Rh 2.0427 0.0000 1.9422
N 0.0000 0.0000 1.9422
```

VASP energy = -6.149 eV per atom
raw formation energy = 0.1828 eV/atom
symmetry = P4/mmm
calculated volume = 12.97 Å³/atom

# 3
Compound: PrNbSe3
Source: Alexandria
Functional: PBE-GGA
Structure: relaxed

Structure (extended XYZ):
```
10
Lattice="7.3625 -2.1320 0.0000 7.3625 2.1320 0.0000 -0.4561 0.0000 7.7103" Properties=species:S:1:pos:R:3 pbc="T T T"
Pr 1.4136 0.0000 3.1479
Pr 12.8553 0.0000 4.5624
Nb 4.3364 0.0000 0.6660
Nb 9.9325 0.0000 7.0442
Se 1.6928 0.0000 0.2395
Se 3.4949 0.0000 5.5359
Se 6.3831 0.0000 2.4936
Se 7.8858 0.0000 5.2166
Se 10.7740 0.0000 2.1744
Se 12.5761 0.0000 7.4708
```

VASP energy = -6.323 eV per atom
raw formation energy = -1.2627 eV/atom
symmetry = C2/m
calculated volume = 24.21 Å³/atom

# 4
Compound: BeZn2Tc
Source: Alexandria
Functional: PBE-GGA
Structure: relaxed

Structure (extended XYZ):
```
4
Lattice="2.6329 0.0000 0.0000 0.0000 4.1388 0.0000 -1.1443 0.0000 4.7375" Properties=species:S:1:pos:R:3 pbc="T T T"
Be 0.0000 0.0000 0.0000
Zn -0.4964 2.0694 3.6028
Zn 1.9851 2.0694 1.1347
Tc 0.7443 0.0000 2.3688
```

VASP energy = -4.058 eV per atom
symmetry = P2/m
calculated volume = 12.91 Å³/atom

# 5
Compound: Ta2RhC
Source: Alexandria
Functional: PBE-GGA
Structure: relaxed

Structure (extended XYZ):
```
4
Lattice="1.5407 0.8895 6.8530 -1.5407 0.8895 6.8530 0.0000 -1.7791 6.8530" Properties=species:S:1:pos:R:3 pbc="T T T"
Ta 0.0000 0.0000 4.6837
Ta 0.0000 0.0000 15.8752
Rh 0.0000 0.0000 0.0000
C 0.0000 0.0000 10.2795
```

VASP energy = -10.595 eV per atom
relative energy among the computed polymorphs = 0.000 eV per atom
symmetry = R-3m
calculated volume = 14.09 Å³/atom

# 6
Compound: NbTe3Pt
Source: Alexandria
Functional: PBE-GGA
Structure: relaxed

Structure (extended XYZ):
```
5
Lattice="5.3120 0.0000 0.0000 0.0000 5.3120 0.0000 0.0000 0.0000 5.3120" Properties=species:S:1:pos:R:3 pbc="T T T"
Nb 0.0000 0.0000 0.0000
Te 0.0000 0.0000 2.6560
Te 0.0000 2.6560 0.0000
Te 2.6560 0.0000 0.0000
Pt 2.6560 2.6560 2.6560
```

VASP energy = -4.381 eV per atom
raw formation energy = 0.7264 eV/atom
relative energy among the computed polymorphs = 1.056 eV per atom
symmetry = Pm-3m
calculated volume = 29.98 Å³/atom

# 7
Compound: Cu2Se
Source: Alexandria
Functional: PBE-GGA
Structure: relaxed

Structure (extended XYZ):
```
6
Lattice="1.8478 -6.9769 0.0000 1.8478 6.9769 0.0000 0.0000 0.0000 3.6591" Properties=species:S:1:pos:R:3 pbc="T T T"
Cu 0.0000 0.0000 0.0000
Cu 1.8478 5.1219 1.8296
Cu 1.8478 0.0000 1.8296
Cu 1.8478 -5.1219 1.8296
Se 1.8478 1.9793 0.0000
Se 1.8478 -1.9793 0.0000
```

VASP energy = -3.827 eV per atom
raw formation energy = 0.0653 eV/atom
symmetry = Cmmm
calculated volume = 15.72 Å³/atom

# 8
Compound: HfAlTc
Source: Alexandria
Functional: PBE-GGA
Structure: relaxed

Structure (extended XYZ):
```
3
Lattice="4.5105 0.0000 0.0000 -2.2552 3.9062 0.0000 0.0000 0.0000 2.8981" Properties=species:S:1:pos:R:3 pbc="T T T"
Hf 0.0000 0.0000 0.0000
Al 2.2552 1.3021 1.3005
Tc 0.0000 2.6041 2.0184
```

VASP energy = -8.320 eV per atom
relative energy among the computed polymorphs = 0.205 eV per atom
symmetry = P3m1
calculated volume = 17.02 Å³/atom

# 9
Compound: SrWS2N
Source: Alexandria
Functional: PBE-GGA
Structure: relaxed

Structure (extended XYZ):
```
5
Lattice="5.3520 0.0000 0.0000 0.0000 5.3520 0.0000 0.0000 0.0000 4.2257" Properties=species:S:1:pos:R:3 pbc="T T T"
Sr 0.0000 0.0000 0.0000
W 2.6760 2.6760 2.1128
S 0.0000 2.6760 0.0000
S 2.6760 0.0000 0.0000
N 0.0000 0.0000 2.1128
```

VASP energy = -4.187 eV per atom
raw formation energy = 2.0558 eV/atom
relative energy among the computed polymorphs = 2.924 eV per atom
symmetry = P4/mmm
calculated volume = 24.21 Å³/atom

# 10
Compound: YBi2F
Source: Alexandria
Functional: PBE-GGA
Structure: relaxed

Structure (extended XYZ):
```
8
Lattice="-2.8327 2.8327 8.0321 2.8327 -2.8327 8.0321 2.8327 2.8327 -8.0321" Properties=species:S:1:pos:R:3 pbc="T T T"
Y 0.0000 0.0000 0.0000
Y 0.0000 2.8327 4.0161
Bi 1.4164 -0.7435 6.0241
Bi 2.0892 1.4164 2.0080
Bi 1.4164 3.5762 -2.0080
Bi 0.7435 1.4164 10.0402
F 2.8327 0.0000 4.0161
F 0.0000 0.0000 8.0321
```

VASP energy = -4.530 eV per atom
raw formation energy = -0.5062 eV/atom
relative energy among the computed polymorphs = 0.200 eV per atom
symmetry = I-42d
calculated volume = 32.23 Å³/atom

# 11
Compound: ReBr2Cl
Source: Alexandria
Functional: PBE-GGA
Structure: relaxed

Structure (extended XYZ):
```
4
Lattice="1.8441 1.0647 7.5874 -1.8441 1.0647 7.5874 0.0000 -2.1294 7.5874" Properties=species:S:1:pos:R:3 pbc="T T T"
Re 0.0000 0.0000 0.0000
Br 0.0000 0.0000 6.1094
Br 0.0000 0.0000 16.6529
Cl 0.0000 0.0000 11.3812
```

VASP energy = -4.042 eV per atom
raw formation energy = 0.3678 eV/atom
relative energy among the computed polymorphs = 0.432 eV per atom
symmetry = R-3m
calculated volume = 22.35 Å³/atom

# 12
Compound: YMoAu3
Source: Alexandria
Functional: PBE-GGA
Structure: relaxed

Structure (extended XYZ):
```
5
Lattice="5.0217 0.0000 0.0000 0.0000 5.0217 0.0000 0.0000 0.0000 5.0217" Properties=species:S:1:pos:R:3 pbc="T T T"
Y 0.0000 0.0000 0.0000
Mo 2.5108 2.5108 2.5108
Au 0.0000 2.5108 2.5108
Au 2.5108 0.0000 2.5108
Au 2.5108 2.5108 0.0000
```

VASP energy = -4.945 eV per atom
relative energy among the computed polymorphs = 0.000 eV per atom
symmetry = Pm-3m
calculated volume = 25.33 Å³/atom

Please write out number 2 again, unchanged.
Compound: NiAgRh2N
Source: Alexandria
Functional: PBE-GGA
Structure: relaxed

Structure (extended XYZ):
```
5
Lattice="4.0854 0.0000 0.0000 0.0000 4.0854 0.0000 0.0000 0.0000 3.8844" Properties=species:S:1:pos:R:3 pbc="T T T"
Ni 0.0000 0.0000 0.0000
Ag 2.0427 2.0427 0.0000
Rh 0.0000 2.0427 1.9422
Rh 2.0427 0.0000 1.9422
N 0.0000 0.0000 1.9422
```

VASP energy = -6.149 eV per atom
raw formation energy = 0.1828 eV/atom
symmetry = P4/mmm
calculated volume = 12.97 Å³/atom

Repeat the seventh record exactly.
Compound: Cu2Se
Source: Alexandria
Functional: PBE-GGA
Structure: relaxed

Structure (extended XYZ):
```
6
Lattice="1.8478 -6.9769 0.0000 1.8478 6.9769 0.0000 0.0000 0.0000 3.6591" Properties=species:S:1:pos:R:3 pbc="T T T"
Cu 0.0000 0.0000 0.0000
Cu 1.8478 5.1219 1.8296
Cu 1.8478 0.0000 1.8296
Cu 1.8478 -5.1219 1.8296
Se 1.8478 1.9793 0.0000
Se 1.8478 -1.9793 0.0000
```

VASP energy = -3.827 eV per atom
raw formation energy = 0.0653 eV/atom
symmetry = Cmmm
calculated volume = 15.72 Å³/atom

Which formula does entry 1 have? TaGeTePt